DFT (PBE) results for a relaxed structure of Nb4CuC.

```
data_Nb4CuC
_space_group_name_H-M_alt 'P 1 21/c 1'
_space_group_IT_number 14
_cell_length_a 6.975
_cell_length_b 4.866
_cell_length_c 6.397
_cell_angle_alpha 90.00
_cell_angle_beta 112.65
_cell_angle_gamma 90.00
loop_
_space_group_symop_operation_xyz
'x,y,z'
'-x,-y,-z'
'-x,y+1/2,-z+1/2'
'x,-y+1/2,z+1/2'
loop_
_atom_site_label
_atom_site_type_symbol
_atom_site_fract_x
_atom_site_fract_y
_atom_site_fract_z
_atom_site_occupancy
Nb1 Nb 0.147 0.239 0.312 1
Nb2 Nb 0.253 0.709 0.110 1
Cu1 Cu 0.500 0.000 0.000 1
C1 C 0.000 0.000 0.000 1
```

Results
Formation enthalpy at 0 K in eV per atom: 0.15

=====

DFT (PBE) results for a relaxed structure of Nb3CuC.

```
data_Nb3CuC
_space_group_name_H-M_alt 'P 1 21/m 1'
_space_group_IT_number 11
_cell_length_a 3.229
_cell_length_b 8.502
_cell_length_c 5.613
_cell_angle_alpha 90.00
_cell_angle_beta 106.70
_cell_angle_gamma 90.00
loop_
_space_group_symop_operation_xyz
'x,y,z'
'-x,-y,-z'
'-x,y+1/2,-z'
'x,-y+1/2,z'
loop_
_atom_site_label
_atom_site_type_symbol
_atom_site_fract_x
_atom_site_fract_y
_atom_site_fract_z
_atom_site_occupancy
Nb1 Nb 0.051 0.250 0.100 1
Nb2 Nb 0.369 0.052 0.737 1
Cu1 Cu 0.256 0.750 0.513 1
C1 C 0.000 0.000 0.000 1
```

Results
Excess energy over the best structure of this formula in the dataset in meV per atom: 0
Formation enthalpy at 0 K in eV per atom: -0.24